Record 1
Fe2MoCl | PBE | relaxed

Output
For the energy above the most stable polymorph in this dataset, the calculation gives 0.220 eV per atom. As for the crystal system: orthorhombic. The total energy is -7.01 eV/atom. The value obtained for the formation energy from raw total energies is 0.39 eV per atom.

Unit cell a=3.114 b=4.635 c=8.081 alpha=90.00 beta=90.00 gamma=90.00
Space group Cmm2 (No. 35)
Symmetry-distinct sites (fractional):
Fe 0.000 0.000 0.000
Fe 0.000 0.500 0.231
Mo 0.000 0.000 0.477
Cl 0.000 0.500 0.750


Record 2
Tl2GaI | PBE | relaxed

Output
For the energy above the most stable polymorph in this dataset, the calculation gives 0.000 eV per atom. As for the crystal system: tetragonal. The total energy is -2.35 eV/atom. The value obtained for the formation energy from raw total energies is -0.02 eV per atom.

Unit cell a=6.813 b=6.813 c=14.498 alpha=90.00 beta=90.00 gamma=90.00
Space group I-42d (No. 122)
Symmetry-distinct sites (fractional):
Tl 0.173 0.250 0.125
Ga 0.000 0.000 0.000
I 0.000 0.000 0.500


Record 3
LaOsSe2 | PBE | relaxed

Output
For the energy above the most stable polymorph in this dataset, the calculation gives 0.371 eV per atom. As for the crystal system: tetragonal. The total energy is -6.11 eV/atom. The value obtained for the formation energy from raw total energies is -0.33 eV per atom.

Unit cell a=3.438 b=3.438 c=8.227 alpha=90.00 beta=90.00 gamma=90.00
Space group P4mm (No. 99)
Symmetry-distinct sites (fractional):
La 0.000 0.000 0.000
Os 0.500 0.500 0.299
Se 0.000 0.000 0.410
Se 0.500 0.500 0.801


Record 4
Tb2PrNdSm5 | PBE | relaxed

Output
As for the crystal system: tetragonal. The calculation puts the energy of formation at 272 meV/atom. The total energy is -4.44 eV/atom.

Unit cell a=8.855 b=8.855 c=15.691 alpha=90.00 beta=90.00 gamma=90.00
Space group I4/mcm (No. 140)
Symmetry-distinct sites (fractional):
Tb 0.118 0.382 0.000
Pr 0.000 0.000 0.250
Nd 0.000 0.500 0.250
Sm 0.000 0.000 0.000
Sm 0.201 0.299 0.365


Record 5
Na2ZnAuO4 | PBE | relaxed

Output
As for the crystal system: tetragonal. The total energy is -4.01 eV/atom. The value obtained for the formation energy from raw total energies is -0.63 eV per atom.

Unit cell a=6.025 b=6.025 c=5.964 alpha=90.00 beta=90.00 gamma=90.00
Space group I-42m (No. 121)
Symmetry-distinct sites (fractional):
Na 0.000 0.500 0.000
Zn 0.000 0.000 0.000
Au 0.000 0.000 0.500
O 0.162 0.162 0.240


Record 6
V5W | PBE | relaxed

Output
For the energy above the most stable polymorph in this dataset, the calculation gives 0.000 eV per atom. As for the crystal system: orthorhombic. The calculation puts the energy of formation at -29 meV/atom. The total energy is -9.79 eV/atom.

Unit cell a=4.286 b=12.855 c=3.034 alpha=90.00 beta=90.00 gamma=90.00
Space group Cmmm (No. 65)
Symmetry-distinct sites (fractional):
V 0.000 0.000 0.000
V 0.000 0.170 0.500
V 0.000 0.331 0.000
W 0.000 0.500 0.500